1.
Material: InGaAg
Method: DFT, PBE
State: optimized geometry

Cell lengths 4.6010, 4.6010, 4.6010 Å; angles 60.00, 60.00, 60.00 degrees
With the nearest neighbours (Å) after each atom.
Sites, in units of the cell vectors:
In 0.0000 0.0000 0.0000  4 Ag 2.82
Ga 0.5000 0.5000 0.5000  4 Ag 2.82
Ag 0.2500 0.2500 0.2500  4 Ga 2.82, 4 In 2.82

Results
DFT formation energy = 0.030 eV/atom

---

2.
Material: Sr3Ta2TiO9
Method: DFT, PBE
State: optimized geometry

Cell lengths 5.6991, 5.6991, 6.9909 Å; angles 90.00, 90.00, 120.00 degrees
With the nearest neighbours (Å) after each atom.
Sites, in units of the cell vectors:
Sr 0.0000 0.0000 0.0000  12 O 2.85
Sr 0.3333 0.6667 0.6597  12 O 2.81-2.89
Sr 0.6667 0.3333 0.3403  12 O 2.81-2.89
Ta 0.3333 0.6667 0.1722  6 O 2.00-2.04
Ta 0.6667 0.3333 0.8278  6 O 2.00-2.04
Ti 0.0000 0.0000 0.5000  6 O 2.01
O 0.0000 0.5000 0.0000  2 Ta 2.04
O 0.1666 0.3331 0.3336  1 Ta 2.00, 1 Ti 2.01
O 0.1666 0.8334 0.3336  1 Ta 2.00, 1 Ti 2.01
O 0.3331 0.1666 0.6664  1 Ta 2.00, 1 Ti 2.01
O 0.5000 0.0000 0.0000  2 Ta 2.04
O 0.5000 0.5000 0.0000  2 Ta 2.04
O 0.6669 0.8334 0.3336  1 Ta 2.00, 1 Ti 2.01
O 0.8334 0.1666 0.6664  1 Ta 2.00, 1 Ti 2.01
O 0.8334 0.6669 0.6664  1 Ta 2.00, 1 Ti 2.01

Results
Formation energy (no corrections) = -4334.8 kJ/mol of formula units

---

3.
Material: AgHgAs
Method: DFT, PBE
State: optimized geometry

Cell lengths 5.1104, 5.1104, 2.8534 Å; angles 90.00, 90.00, 120.00 degrees
With the nearest neighbours (Å) after each atom.
Sites, in units of the cell vectors:
Ag 0.0000 0.0000 0.0000  2 Ag 2.85, 3 Hg 2.95, 3 As 2.95
Hg 0.6667 0.3333 0.0000  2 Hg 2.85, 3 Ag 2.95, 3 As 2.95
As 0.3333 0.6667 0.0000  2 As 2.85, 3 Ag 2.95, 3 Hg 2.95

Results
DFT formation energy = 0.231 eV/atom

---

4.
Material: Tb12PmTl3
Method: DFT, PBE
State: optimized geometry

Cell lengths 4.8820, 4.8820, 20.0098 Å; angles 90.00, 90.00, 90.00 degrees
With the nearest neighbours (Å) after each atom.
Sites, in units of the cell vectors:
Tb 0.0000 0.0000 0.0000  4 Tl 3.45, 8 Tb 3.46
Tb 0.0000 0.0000 0.2444  8 Tb 3.45-3.48, 4 Tl 3.45
Tb 0.0000 0.0000 0.5000  4 Pm 3.45, 8 Tb 3.59
Tb 0.0000 0.0000 0.7556  8 Tb 3.45-3.48, 4 Tl 3.45
Tb 0.0000 0.5000 0.1227  4 Tl 3.43-3.46, 8 Tb 3.45-3.46
Tb 0.0000 0.5000 0.3686  8 Tb 3.45-3.59, 2 Tl 3.51, 2 Pm 3.59
Tb 0.0000 0.5000 0.6314  8 Tb 3.45-3.59, 2 Tl 3.51, 2 Pm 3.59
Tb 0.0000 0.5000 0.8773  4 Tl 3.43-3.46, 8 Tb 3.45-3.46
Tb 0.5000 0.0000 0.1227  4 Tl 3.43-3.46, 8 Tb 3.45-3.46
Tb 0.5000 0.0000 0.3686  8 Tb 3.45-3.59, 2 Tl 3.51, 2 Pm 3.59
Tb 0.5000 0.0000 0.6314  8 Tb 3.45-3.59, 2 Tl 3.51, 2 Pm 3.59
Tb 0.5000 0.0000 0.8773  4 Tl 3.43-3.46, 8 Tb 3.45-3.46
Pm 0.5000 0.5000 0.5000  12 Tb 3.45-3.59
Tl 0.5000 0.5000 0.0000  12 Tb 3.45-3.46
Tl 0.5000 0.5000 0.2429  12 Tb 3.43-3.51
Tl 0.5000 0.5000 0.7571  12 Tb 3.43-3.51

Results
DFT formation energy = -0.128 eV/atom

---

5.
Material: Ho2Tm5AgRu2
Method: DFT, PBE
State: optimized geometry

Cell lengths 11.5234, 11.5234, 3.8007 Å; angles 90.00, 90.00, 90.00 degrees
With the nearest neighbours (Å) after each atom.
Sites, in units of the cell vectors:
Ho 0.1863 0.3137 0.0000  1 Ru 2.96
Ho 0.3137 0.8137 0.0000  1 Ru 2.96
Ho 0.6863 0.1863 0.0000  1 Ru 2.96
Ho 0.8137 0.6863 0.0000  1 Ru 2.96
Tm 0.0000 0.5000 0.5000  4 Ru 2.87
Tm 0.0601 0.7904 0.5000  2 Ru 2.76
Tm 0.2096 0.0601 0.5000  2 Ru 2.76
Tm 0.2904 0.5601 0.5000  2 Ru 2.76
Tm 0.4399 0.2904 0.5000  2 Ru 2.76
Tm 0.5000 0.0000 0.5000  4 Ru 2.87
Tm 0.5601 0.7096 0.5000  2 Ru 2.76
Tm 0.7096 0.4399 0.5000  2 Ru 2.76
Tm 0.7904 0.9399 0.5000  2 Ru 2.76
Tm 0.9399 0.2096 0.5000  2 Ru 2.76
Ag 0.0000 0.0000 0.0000  8 Tm 3.15
Ag 0.5000 0.5000 0.0000  8 Tm 3.15
Ru 0.1318 0.6318 0.0000  6 Tm 2.76-2.87, 1 Ho 2.96
Ru 0.3682 0.1318 0.0000  6 Tm 2.76-2.87, 1 Ho 2.96
Ru 0.6318 0.8682 0.0000  6 Tm 2.76-2.87, 1 Ho 2.96
Ru 0.8682 0.3682 0.0000  6 Tm 2.76-2.87, 1 Ho 2.96

Results
DFT formation energy = -0.318 eV/atom

---

6.
Material: Hf3PdN
Method: DFT, PBE
State: optimized geometry

Cell lengths 4.3873, 4.3873, 4.3873 Å; angles 90.00, 90.00, 90.00 degrees
With the nearest neighbours (Å) after each atom.
Sites, in units of the cell vectors:
Hf 0.0000 0.0000 0.5000  2 N 2.19
Hf 0.0000 0.5000 0.0000  2 N 2.19
Hf 0.5000 0.0000 0.0000  2 N 2.19
Pd 0.5000 0.5000 0.5000  12 Hf 3.10
N 0.0000 0.0000 0.0000  6 Hf 2.19

Results
Formation energy (no corrections) = -461.9 kJ/mol of formula units

---

7.
Material: Hf2CdGeS
Method: DFT, PBE
State: optimized geometry

Cell lengths 5.3352, 5.3352, 4.5531 Å; angles 90.00, 90.00, 90.00 degrees
With the nearest neighbours (Å) after each atom.
Sites, in units of the cell vectors:
Hf 0.0000 0.5000 0.0000  2 Cd 2.67
Hf 0.5000 0.0000 0.0000  2 Cd 2.67
Cd 0.0000 0.0000 0.0000  2 S 2.28
Ge 0.5000 0.5000 0.5000  8 Hf 3.51, 4 S 3.77
S 0.0000 0.0000 0.5000  2 Cd 2.28

Results
Formation energy (no corrections) = 573.0 kJ/mol of formula units

---

8.
Material: Pr2MgGePt6
Method: DFT, PBE
State: optimized geometry

Cell lengths 5.5114, 6.5758, 6.9304 Å; angles 79.48, 66.59, 65.26 degrees
With the nearest neighbours (Å) after each atom.
Sites, in units of the cell vectors:
Pr 0.2425 0.2137 0.3011  7 Pt 3.04-3.38
Pr 0.7575 0.7863 0.6989  7 Pt 3.04-3.38
Mg 0.5000 0.5000 0.5000  6 Pt 2.61-2.63
Ge 0.0000 0.0000 0.0000  6 Pt 2.51
Pt 0.2467 0.7627 0.2467  1 Ge 2.51, 1 Mg 2.61, 4 Pt 2.73-2.80
Pt 0.2504 0.5955 0.9018  1 Ge 2.51, 1 Mg 2.63, 4 Pt 2.72-2.80
Pt 0.2568 0.2367 0.7529  1 Ge 2.51, 1 Mg 2.61, 4 Pt 2.72-2.80
Pt 0.7432 0.7633 0.2471  1 Ge 2.51, 1 Mg 2.61, 4 Pt 2.72-2.80
Pt 0.7496 0.4045 0.0982  1 Ge 2.51, 1 Mg 2.63, 4 Pt 2.72-2.80
Pt 0.7533 0.2373 0.7533  1 Ge 2.51, 1 Mg 2.61, 4 Pt 2.73-2.80

Results
DFT formation energy = -0.773 eV/atom

---

9.
Material: Rb3Pu2MgS6
Method: DFT, PBE
State: optimized geometry

Cell lengths 7.0201, 7.0201, 7.9806 Å; angles 98.41, 98.41, 120.01 degrees
With the nearest neighbours (Å) after each atom.
Sites, in units of the cell vectors:
Rb 0.0000 0.0000 0.0000  6 S 3.34-3.35
Rb 0.3354 0.6646 0.0000  6 S 3.33-3.36
Rb 0.6646 0.3354 0.0000  6 S 3.33-3.36
Pu 0.1668 0.8332 0.5000  6 S 2.75
Pu 0.8332 0.1668 0.5000  6 S 2.75
Mg 0.5000 0.5000 0.5000  6 S 2.73-2.74
S 0.1053 0.4375 0.3124  1 Mg 2.74, 2 Pu 2.75
S 0.2303 0.2303 0.6867  1 Mg 2.73, 2 Pu 2.75
S 0.4375 0.1053 0.3124  1 Mg 2.74, 2 Pu 2.75
S 0.5625 0.8947 0.6876  1 Mg 2.74, 2 Pu 2.75
S 0.7697 0.7697 0.3133  1 Mg 2.73, 2 Pu 2.75
S 0.8947 0.5625 0.6876  1 Mg 2.74, 2 Pu 2.75

Results
Formation energy (no corrections) = -1664.1 kJ/mol of formula units

---

10.
Material: MnOs3Cl
Method: DFT, PBE
State: optimized geometry

Cell lengths 4.3462, 4.3462, 4.3462 Å; angles 90.00, 90.00, 90.00 degrees
With the nearest neighbours (Å) after each atom.
Sites, in units of the cell vectors:
Mn 0.0000 0.0000 0.0000  12 Os 3.07
Os 0.0000 0.5000 0.5000  2 Cl 2.17
Os 0.5000 0.0000 0.5000  2 Cl 2.17
Os 0.5000 0.5000 0.0000  2 Cl 2.17
Cl 0.5000 0.5000 0.5000  6 Os 2.17

Results
Formation energy (no corrections) = 894.3 kJ/mol of formula units
Energy above the lowest structure with this stoichiometry = 0 meV per atom

---

11.
Material: MgCrMo
Method: DFT, PBE
State: optimized geometry

Cell lengths 4.4213, 4.4213, 2.6582 Å; angles 90.00, 90.00, 120.00 degrees
With the nearest neighbours (Å) after each atom.
Sites, in units of the cell vectors:
Mg 0.0000 0.0000 0.0000  2 Mg 2.66, 3 Cr 2.72, 3 Mo 2.77
Cr 0.6667 0.3333 0.6417  3 Mo 2.63, 2 Cr 2.66, 3 Mg 2.72
Mo 0.3333 0.6667 0.4031  3 Cr 2.63, 2 Mo 2.66, 3 Mg 2.77

Results
DFT formation energy = 0.342 eV/atom
Energy above the lowest structure with this stoichiometry = 33 meV per atom

---

12.
Material: PrTmSc
Method: DFT, PBE
State: optimized geometry

Cell lengths 9.0715, 9.0715, 3.7821 Å; angles 90.00, 90.00, 144.19 degrees
With the nearest neighbours (Å) after each atom.
Sites, in units of the cell vectors:
Pr 0.2291 0.7709 0.7500  2 Sc 3.38, 6 Pr 3.45-3.78, 4 Tm 3.74-3.75
Pr 0.7709 0.2291 0.2500  2 Sc 3.38, 6 Pr 3.45-3.78, 4 Tm 3.74-3.75
Tm 0.4160 0.5840 0.2500  4 Sc 3.38, 4 Tm 3.46-3.78, 4 Pr 3.74-3.75
Tm 0.5840 0.4160 0.7500  4 Sc 3.38, 4 Tm 3.46-3.78, 4 Pr 3.74-3.75
Sc 0.0666 0.9334 0.2500  2 Sc 2.98
Sc 0.9334 0.0666 0.7500  2 Sc 2.98

Results
DFT formation energy = 0.094 eV/atom
Energy above the lowest structure with this stoichiometry = 36 meV per atom

---

no.,total moment (μB per cell)
1,0.0
2,0.0
3,0.0
4,0.0
5,0.0
6,0.0
7,0.0
8,0.0
9,9.0
10,4.3
11,0.0
12,0.0